P.
Material: CaPmN2
Method: DFT, PBE
State: optimized geometry

Structure (POSCAR):
```
CaPmN2
1.0
1.775 1.025 6.057
-1.775 1.025 6.057
0.000 -2.050 6.057
Ca Pm N
1 1 2
direct
0.000 0.000 0.000
0.827 0.827 0.827
0.238 0.238 0.238
0.416 0.416 0.416
```

Properties
volume: 16.53 A^3/atom
space group: R3m (160)


Q.
Material: CaPmN2
Method: DFT, PBE
State: optimized geometry

Structure (POSCAR):
```
CaPmN2
1.0
1.800 1.039 5.826
-1.800 1.039 5.826
0.000 -2.078 5.826
Ca Pm N
1 1 2
direct
0.000 0.000 0.000
0.500 0.500 0.500
0.246 0.246 0.246
0.754 0.754 0.754
```

Properties
volume: 16.35 A^3/atom
space group: R-3m (166)


Which one sits at the top of the stability order? Q does.


P.
Material: CaPmN
Method: DFT, PBE
State: optimized geometry

Structure (POSCAR):
```
CaPmN
1.0
4.735 0.000 0.000
0.000 2.569 2.782
0.000 -2.569 2.782
Ca Pm N
1 1 1
direct
0.000 0.000 0.000
0.500 0.501 0.501
0.000 0.570 0.570
```

Properties
volume: 22.56 A^3/atom
space group: Amm2 (38)


Q.
Material: CaPmN
Method: DFT, PBE
State: optimized geometry

Structure (POSCAR):
```
CaPmN
1.0
3.646 0.000 0.000
-1.823 3.157 0.000
0.000 0.000 6.220
Ca Pm N
1 1 1
direct
0.000 0.000 0.000
0.333 0.667 0.441
0.667 0.333 0.254
```

Properties
volume: 23.86 A^3/atom
space group: P3m1 (156)


R.
Material: CaPmN
Method: DFT, PBE
State: optimized geometry

Structure (POSCAR):
```
CaPmN
1.0
-2.416 2.416 3.798
2.416 -2.416 3.798
2.416 2.416 -3.798
Ca Pm N
1 1 1
direct
0.000 0.000 0.000
0.445 0.445 0.000
0.717 0.717 0.000
```

Properties
volume: 29.57 A^3/atom
space group: I4mm (107)


Which one sits at the top of the stability order? Q does.


P.
Material: CaPrN
Method: DFT, PBE
State: optimized geometry

Structure (POSCAR):
```
CaPrN
1.0
0.000 3.094 3.094
3.094 0.000 3.094
3.094 3.094 0.000
Ca Pr N
1 1 1
direct
0.000 0.000 0.000
0.500 0.500 0.500
0.750 0.750 0.750
```

Properties
volume: 19.75 A^3/atom
space group: F-43m (216)


Q.
Material: CaPrN
Method: DFT, PBE
State: optimized geometry

Structure (POSCAR):
```
CaPrN
1.0
3.668 0.000 0.000
-1.834 3.176 0.000
0.000 0.000 6.317
Ca Pr N
1 1 1
direct
0.000 0.000 0.000
0.333 0.667 0.438
0.667 0.333 0.241
```

Properties
volume: 24.53 A^3/atom
space group: P3m1 (156)


R.
Material: CaPrN
Method: DFT, PBE
State: optimized geometry

Structure (POSCAR):
```
CaPrN
1.0
3.750 0.000 0.000
0.000 3.750 0.000
0.000 0.000 10.381
Ca Pr N
2 2 2
direct
0.250 0.250 0.142
0.750 0.750 0.858
0.250 0.250 0.615
0.750 0.750 0.385
0.250 0.250 0.378
0.750 0.750 0.622
```

Properties
volume: 24.33 A^3/atom
space group: P4/nmm (129)


Which one sits at the top of the stability order? R does.


P.
Material: CaPuN
Method: DFT, PBE
State: optimized geometry

Structure (POSCAR):
```
CaPuN
1.0
6.418 0.000 0.000
-3.209 5.558 0.000
0.000 0.000 6.205
Ca Pu N
3 3 3
direct
0.000 0.663 0.000
0.337 0.337 0.000
0.663 0.000 0.000
0.000 0.314 0.500
0.314 0.000 0.500
0.686 0.686 0.500
0.000 0.000 0.000
0.333 0.667 0.500
0.667 0.333 0.500
```

Properties
volume: 24.59 A^3/atom
space group: P-62m (189)


Q.
Material: CaPuN
Method: DFT, PBE
State: optimized geometry

Structure (POSCAR):
```
CaPuN
1.0
-2.298 2.298 3.719
2.298 -2.298 3.719
2.298 2.298 -3.719
Ca Pu N
1 1 1
direct
0.000 0.000 0.000
0.432 0.432 0.000
0.700 0.700 0.000
```

Properties
volume: 26.18 A^3/atom
space group: I4mm (107)


R.
Material: CaPuN
Method: DFT, PBE
State: optimized geometry

Structure (POSCAR):
```
CaPuN
1.0
0.000 3.018 3.018
3.018 0.000 3.018
3.018 3.018 0.000
Ca Pu N
1 1 1
direct
0.000 0.000 0.000
0.500 0.500 0.500
0.250 0.250 0.250
```

Properties
volume: 18.33 A^3/atom
space group: F-43m (216)


Which one sits at the top of the stability order? P does.


P.
Material: Ca2PuN3
Method: DFT, PBE
State: optimized geometry

Structure (POSCAR):
```
Ca2PuN3
1.0
2.931 1.692 5.851
-2.931 1.692 5.851
0.000 -3.385 5.851
Ca Pu N
4 2 6
direct
0.172 0.172 0.172
0.328 0.328 0.328
0.672 0.672 0.672
0.828 0.828 0.828
0.000 0.000 0.000
0.500 0.500 0.500
0.128 0.750 0.372
0.250 0.628 0.872
0.372 0.128 0.750
0.628 0.872 0.250
0.750 0.372 0.128
0.872 0.250 0.628
```

Properties
volume: 14.51 A^3/atom
space group: R-3c (167)


Q.
Material: Ca2PuN3
Method: DFT, PBE
State: optimized geometry

Structure (POSCAR):
```
Ca2PuN3
1.0
-1.746 2.416 5.248
1.746 -2.416 5.248
1.746 2.416 -5.248
Ca Pu N
2 1 3
direct
0.166 0.166 0.000
0.834 0.834 0.000
0.500 0.500 0.000
0.000 0.500 0.500
0.364 0.864 0.500
0.636 0.136 0.500
```

Properties
volume: 14.76 A^3/atom
space group: Immm (71)


Which one sits at the top of the stability order? Q does.


P.
Material: RbCaS2N
Method: DFT, PBE
State: optimized geometry

Structure (POSCAR):
```
RbCaS2N
1.0
5.468 0.000 0.000
0.000 5.468 0.000
0.000 0.000 4.920
Rb Ca S N
1 1 2 1
direct
0.000 0.000 0.000
0.500 0.500 0.500
0.000 0.500 0.500
0.500 0.000 0.500
0.500 0.500 0.000
```

Properties
volume: 29.42 A^3/atom
space group: P4/mmm (123)


Q.
Material: RbCaS2N
Method: DFT, PBE
State: optimized geometry

Structure (POSCAR):
```
RbCaS2N
1.0
5.703 0.000 0.000
0.000 5.703 0.000
0.000 0.000 4.917
Rb Ca S N
1 1 2 1
direct
0.000 0.000 0.000
0.500 0.500 0.500
0.000 0.500 0.000
0.500 0.000 0.000
0.000 0.000 0.500
```

Properties
volume: 31.98 A^3/atom
space group: P4/mmm (123)


Which one sits at the top of the stability order? P does.


P.
Material: RbCaSN2
Method: DFT, PBE
State: optimized geometry

Structure (POSCAR):
```
RbCaSN2
1.0
4.916 0.000 0.000
0.000 4.916 0.000
0.000 0.000 6.209
Rb Ca S N
1 1 1 2
direct
0.000 0.000 0.000
0.500 0.500 0.500
0.000 0.000 0.500
0.000 0.500 0.000
0.500 0.000 0.000
```

Properties
volume: 30.01 A^3/atom
space group: P4/mmm (123)


Q.
Material: RbCaSN2
Method: DFT, PBE
State: optimized geometry

Structure (POSCAR):
```
RbCaSN2
1.0
4.928 0.000 0.000
0.000 4.928 0.000
0.000 0.000 5.480
Rb Ca S N
1 1 1 2
direct
0.000 0.000 0.000
0.500 0.500 0.500
0.500 0.500 0.000
0.000 0.500 0.500
0.500 0.000 0.500
```

Properties
volume: 26.62 A^3/atom
space group: P4/mmm (123)


Which one sits at the top of the stability order? Q does.


P.
Material: RbCaTeN2
Method: DFT, PBE
State: optimized geometry

Structure (POSCAR):
```
RbCaTeN2
1.0
5.022 0.000 0.000
0.000 5.022 0.000
0.000 0.000 7.166
Rb Ca Te N
1 1 1 2
direct
0.000 0.000 0.000
0.500 0.500 0.500
0.000 0.000 0.500
0.000 0.500 0.000
0.500 0.000 0.000
```

Properties
volume: 36.15 A^3/atom
space group: P4/mmm (123)


Q.
Material: RbCaTeN2
Method: DFT, PBE
State: optimized geometry

Structure (POSCAR):
```
RbCaTeN2
1.0
5.052 0.000 0.000
0.000 5.052 0.000
0.000 0.000 6.204
Rb Ca Te N
1 1 1 2
direct
0.000 0.000 0.000
0.500 0.500 0.500
0.500 0.500 0.000
0.000 0.500 0.500
0.500 0.000 0.500
```

Properties
volume: 31.67 A^3/atom
space group: P4/mmm (123)


Which one sits at the top of the stability order? Q does.


P.
Material: RbCaTe2N
Method: DFT, PBE
State: optimized geometry

Structure (POSCAR):
```
RbCaTe2N
1.0
6.280 0.000 0.000
0.000 6.280 0.000
0.000 0.000 5.056
Rb Ca Te N
1 1 2 1
direct
0.000 0.000 0.000
0.500 0.500 0.500
0.000 0.500 0.000
0.500 0.000 0.000
0.000 0.000 0.500
```

Properties
volume: 39.88 A^3/atom
space group: P4/mmm (123)


Q.
Material: RbCaTe2N
Method: DFT, PBE
State: optimized geometry

Structure (POSCAR):
```
RbCaTe2N
1.0
6.128 0.000 0.000
0.000 6.128 0.000
0.000 0.000 4.575
Rb Ca Te N
1 1 2 1
direct
0.000 0.000 0.000
0.500 0.500 0.500
0.000 0.500 0.500
0.500 0.000 0.500
0.500 0.500 0.000
```

Properties
volume: 34.36 A^3/atom
space group: P4/mmm (123)


Which one sits at the top of the stability order? Q does.


P.
Material: Ca2ReN3
Method: DFT, PBE
State: optimized geometry

Structure (POSCAR):
```
Ca2ReN3
1.0
4.698 -3.190 0.000
4.698 3.190 0.000
-0.009 0.000 5.683
Ca Re N
4 2 6
direct
0.015 0.342 0.250
0.342 0.015 0.750
0.658 0.985 0.250
0.985 0.658 0.750
0.379 0.621 0.250
0.621 0.379 0.750
0.100 0.900 0.250
0.361 0.361 0.000
0.361 0.361 0.500
0.639 0.639 0.000
0.639 0.639 0.500
0.900 0.100 0.750
```

Properties
volume: 14.19 A^3/atom
space group: C2/c (15)


Q.
Material: Ca2ReN3
Method: DFT, PBE
State: optimized geometry

Structure (POSCAR):
```
Ca2ReN3
1.0
2.807 -5.381 0.000
2.807 5.381 0.000
0.000 0.000 12.302
Ca Re N
8 4 12
direct
0.050 0.950 0.868
0.141 0.859 0.418
0.359 0.641 0.918
0.450 0.550 0.368
0.550 0.450 0.632
0.641 0.359 0.082
0.859 0.141 0.582
0.950 0.050 0.132
0.241 0.759 0.655
0.259 0.741 0.155
0.741 0.259 0.845
0.759 0.241 0.345
0.038 0.462 0.750
0.072 0.928 0.625
0.154 0.846 0.031
0.346 0.654 0.531
0.428 0.572 0.125
0.462 0.038 0.250
0.538 0.962 0.750
0.572 0.428 0.875
0.654 0.346 0.469
0.846 0.154 0.969
0.928 0.072 0.375
0.962 0.538 0.250
```

Properties
volume: 15.48 A^3/atom
space group: Cmce (64)


R.
Material: Ca2ReN3
Method: DFT, PBE
State: optimized geometry

Structure (POSCAR):
```
Ca2ReN3
1.0
2.664 -5.408 0.000
2.664 5.408 0.000
-1.429 0.000 11.972
Ca Re N
8 4 12
direct
0.016 0.421 0.361
0.126 0.350 0.923
0.350 0.126 0.423
0.421 0.016 0.861
0.579 0.984 0.139
0.650 0.874 0.577
0.874 0.650 0.077
0.984 0.579 0.639
0.285 0.298 0.170
0.298 0.285 0.670
0.702 0.715 0.330
0.715 0.702 0.830
0.008 0.992 0.750
0.139 0.480 0.123
0.170 0.350 0.540
0.350 0.170 0.040
0.365 0.635 0.750
0.480 0.139 0.623
0.520 0.861 0.377
0.635 0.365 0.250
0.650 0.830 0.960
0.830 0.650 0.460
0.861 0.520 0.877
0.992 0.008 0.250
```

Properties
volume: 14.37 A^3/atom
space group: C2/c (15)


Which one sits at the top of the stability order? R does.